1.
# CeZn3Ir, optimized geometry, DFT GGA-PBE
# - Energy of formation: -1.7 eV per formula unit
data_CeZn3Ir
_chemical_formula_sum 'Ce4 Zn12 Ir4'
_cell_length_a 8.5264
_cell_length_b 4.0450
_cell_length_c 11.0558
_cell_angle_alpha 90.00
_cell_angle_beta 90.00
_cell_angle_gamma 90.00
_symmetry_space_group_name_H-M 'P n m a'
_symmetry_Int_Tables_number 62
loop_
_symmetry_equiv_pos_as_xyz
'x,y,z'
'-x,-y,-z'
'-x+1/2,-y,z+1/2'
'x+1/2,y,-z+1/2'
'x+1/2,-y+1/2,-z+1/2'
'-x+1/2,y+1/2,z+1/2'
'-x,y+1/2,-z'
'x,-y+1/2,z'
loop_
_atom_site_label
_atom_site_fract_x
_atom_site_fract_y
_atom_site_fract_z
_atom_site_occupancy
Ce1 0.1902 0.2500 0.0073 1
Zn1 0.0506 0.2500 0.4084 1
Zn2 0.0890 0.7500 0.2332 1
Zn3 0.1570 0.7500 0.7891 1
Ir1 0.1488 0.2500 0.6320 1


2.
# Dy2Ho5Ga4, optimized geometry, DFT GGA-PBE
# - Energy of formation: -0.3 eV per formula unit
data_Dy2Ho5Ga4
_chemical_formula_sum 'Dy4 Ho10 Ga8'
_cell_length_a 4.6320
_cell_length_b 10.7539
_cell_length_c 13.3654
_cell_angle_alpha 90.00
_cell_angle_beta 90.00
_cell_angle_gamma 90.00
_symmetry_space_group_name_H-M 'I m m m'
_symmetry_Int_Tables_number 71
_symmetry_space_group_name_Hall '-I 2 2'
loop_
_atom_site_label
_atom_site_fract_x
_atom_site_fract_y
_atom_site_fract_z
_atom_site_occupancy
Dy1 0.0000 0.0000 0.1958 1
Ho1 0.0000 0.3325 0.1501 1
Ho2 0.0000 0.5000 0.5000 1
Ga1 0.0000 0.0000 0.4073 1
Ga2 0.0000 0.1426 0.0000 1


3.
# Cu2RuSe, optimized geometry, DFT GGA-PBE
# - Formation energy without anion corrections: 0.357 eV/atom
data_Cu2RuSe
_chemical_formula_sum 'Cu4 Ru2 Se2'
_cell_length_a 4.9268
_cell_length_b 7.7640
_cell_length_c 2.9747
_cell_angle_alpha 90.00
_cell_angle_beta 90.00
_cell_angle_gamma 90.00
_symmetry_space_group_name_H-M 'C m m m'
_symmetry_Int_Tables_number 65
_symmetry_space_group_name_Hall '-C 2 2'
loop_
_atom_site_label
_atom_site_fract_x
_atom_site_fract_y
_atom_site_fract_z
_atom_site_occupancy
Cu1 0.2500 0.2500 0.0000 1
Ru1 0.0000 0.0000 0.5000 1
Se1 0.0000 0.5000 0.5000 1


4.
# BaScP2Os, optimized geometry, DFT GGA-PBE
# - Energy of formation: -4.2 eV per formula unit
data_BaScP2Os
_chemical_formula_sum 'Ba2 Sc2 P4 Os2'
_cell_length_a 4.0779
_cell_length_b 4.0779
_cell_length_c 13.1765
_cell_angle_alpha 90.00
_cell_angle_beta 90.00
_cell_angle_gamma 90.00
_symmetry_space_group_name_H-M 'I -4 m 2'
_symmetry_Int_Tables_number 119
_symmetry_space_group_name_Hall 'I -4 -2'
loop_
_atom_site_label
_atom_site_fract_x
_atom_site_fract_y
_atom_site_fract_z
_atom_site_occupancy
Ba1 0.0000 0.0000 0.0000 1
Sc1 0.0000 0.5000 0.2500 1
P1 0.0000 0.0000 0.3598 1
Os1 0.0000 0.5000 0.7500 1


5.
# CaCoS2, optimized geometry, DFT GGA-PBE
# - Formation energy without anion corrections: -0.587 eV/atom
# - Excess energy over the best structure of this formula in the dataset: 319 meV per atom
data_CaCoS2
_chemical_formula_sum 'Ca4 Co4 S8'
_cell_length_a 6.5250
_cell_length_b 6.5250
_cell_length_c 6.5250
_cell_angle_alpha 90.00
_cell_angle_beta 90.00
_cell_angle_gamma 90.00
_symmetry_space_group_name_H-M 'F m -3 m'
_symmetry_Int_Tables_number 225
_symmetry_space_group_name_Hall '-F 4 2 3'
loop_
_atom_site_label
_atom_site_fract_x
_atom_site_fract_y
_atom_site_fract_z
_atom_site_occupancy
Ca1 0.0000 0.0000 0.0000 1
Co1 0.0000 0.0000 0.5000 1
S1 0.2500 0.2500 0.2500 1


6.
# Co2MoOs, optimized geometry, DFT GGA-PBE
# - Energy of formation: 0.4 eV per formula unit
# - Excess energy over the best structure of this formula in the dataset: 94 meV per atom
data_Co2MoOs
_chemical_formula_sum 'Co2 Mo1 Os1'
_cell_length_a 2.6215
_cell_length_b 3.6934
_cell_length_c 5.2675
_cell_angle_alpha 90.00
_cell_angle_beta 90.00
_cell_angle_gamma 90.00
_symmetry_space_group_name_H-M 'P m m m'
_symmetry_Int_Tables_number 47
loop_
_symmetry_equiv_pos_as_xyz
'x,y,z'
'-x,-y,-z'
'-x,-y,z'
'x,y,-z'
'x,-y,-z'
'-x,y,z'
'-x,y,-z'
'x,-y,z'
loop_
_atom_site_label
_atom_site_fract_x
_atom_site_fract_y
_atom_site_fract_z
_atom_site_occupancy
Co1 0.0000 0.0000 0.2394 1
Mo1 0.5000 0.5000 0.5000 1
Os1 0.5000 0.5000 0.0000 1


The records above give, respectively, raw total energy values of -4.07; -4.04; -4.88; -6.91; -4.93; -8.98 eV per atom.